[1]
The following is a PBE calculation of crystalline SiGeW2 at its relaxed geometry, from Alexandria via LeMat-Bulk.

Cell lengths 4.3841, 4.3841, 4.3841 Å; angles 60.00, 60.00, 60.00 degrees
Positions (direct):
Si  0.0000  0.0000  0.0000
Ge  0.5000  0.5000  0.5000
W  0.2500  0.2500  0.2500
W  0.7500  0.7500  0.7500

As for the formation energy without anion corrections: 1.110 eV per formula unit.

[2]
The following is a PBE calculation of crystalline SiGeW2 at its relaxed geometry, from Alexandria via LeMat-Bulk.

Cell lengths 9.5239, 9.5239, 9.5239 Å; angles 156.90, 156.90, 32.90 degrees
Positions (direct):
Si  0.0000  0.0000  0.0000
Si  0.7500  0.2500  0.5000
Ge  0.2500  0.7500  0.5000
Ge  0.5000  0.5000  0.0000
W  0.1198  0.6250  0.9948
W  0.3750  0.3698  0.4948
W  0.6302  0.1250  0.0052
W  0.8750  0.8802  0.5052

As for the formation energy without anion corrections: 2.083 eV per formula unit.